(1)
Here is an optimized crystal structure of SrNd2Tc from the Alexandria database. Energies are from GGA-PBE.

Geometry as extended XYZ:
```
4
Lattice="-0.956 2.395 -2.794 0.961 -0.790 -3.593 -9.595 -4.897 -3.500" Properties=species:S:1:pos:R:3 pbc="T T T"
Nd -6.417 -3.098 -3.046
Nd -3.173 -0.195 -6.841
Tc -4.795 -1.646 -4.944
Sr 0.000 0.000 0.000
```

The energy above the most stable polymorph in this dataset is 248 meV per atom. As for the crystal system: trigonal. The space-group type is R-3m, No. 166. For the formation enthalpy at 0 K, the calculation gives 0.385 eV/atom.

---

(2)
Here is an optimized crystal structure of Sr2NdTe3 from the Alexandria database. Energies are from GGA-PBE.

Geometry as extended XYZ:
```
24
Lattice="-3.018 -6.802 -3.084 3.576 4.225 -5.853 11.715 -5.224 7.094" Properties=species:S:1:pos:R:3 pbc="T T T"
Te 7.650 -0.520 0.547
Te 8.198 -4.973 -0.530
Nd 9.776 -2.225 -1.178
Sr 6.468 -7.732 0.204
Sr -1.483 -3.415 -1.536
Te 7.919 -1.767 -3.775
Te 0.135 -0.623 -2.161
Sr 2.507 -5.582 -0.663
Te 11.637 -2.620 1.435
Te 4.358 -4.141 -5.867
Te 7.862 -3.747 4.046
Sr 2.259 -2.364 -4.035
Sr 6.249 -4.531 -3.162
Nd 5.793 -0.062 -2.050
Te 0.640 -5.205 -3.363
Sr 6.023 -3.270 1.319
Te 8.283 -8.196 2.926
Sr 10.013 -5.437 2.192
Te 0.422 -1.954 -6.776
Sr 10.458 -9.899 1.078
Nd 10.280 -6.719 -2.279
Te 4.126 -2.741 -1.335
Te 3.984 0.420 -4.684
Nd 1.992 -1.082 0.436
```

The energy above the most stable polymorph in this dataset is 0 meV per atom. For the uncorrected formation energy, the calculation gives -930 kJ/mol of formula units. As for the crystal system: orthorhombic. The space-group type is Fddd, No. 70.

---

| no. | E_tot (eV for the cell shown) |
| --- | --- |
| 1 | -20.05 |
| 2 | -108.78 |